Entry 1:
Below is a relaxed structure of SmTaGa2, with properties calculated at the PBE-GGA level.

Properties
Theoretical density: 9.598 g cm⁻³
DFT total energy: -22.7 eV/cell
Total moment: 0.00 μB per formula unit
Space group: R-3m (166)
Energy relative to the elements: -0.02 eV per atom
Volume: 81 Å³ per cell

a b c (Å): 3.1182 3.1182 9.8378
angles (deg): 80.88 80.88 60.00
Fractional coordinates of all 4 atoms:
Sm  0.5000  0.5000  0.5000
Ga  0.2573  0.2573  0.2280
Ga  0.7427  0.7427  0.7720
Ta  0.0000  0.0000  0.0000


Entry 2:
Below is a relaxed structure of TbSmGa, with properties calculated at the PBE-GGA level.

Properties
Theoretical density: 7.859 g cm⁻³
DFT total energy: -27.0 eV/cell
Total moment: 0.00 μB per formula unit
Space group: P-1 (2)
Energy relative to the elements: -0.37 eV per atom
Volume: 160 Å³ per cell
E above lowest polymorph: 28 meV per atom

a b c (Å): 3.7365 5.1538 8.5238
angles (deg): 90.00 102.63 90.00
Fractional coordinates of all 6 atoms:
Tb  0.8557  0.5252  0.3968
Tb  0.0045  0.0257  0.6962
Sm  0.7086  0.0251  0.1040
Sm  0.1516  0.5253  0.9891
Ga  0.5052  0.5261  0.6965
Ga  0.3549  0.0252  0.3965